(1)
Entry from Alexandria: a relaxed UTlBr2F6 crystal (PBE).

**Energy relative to the elements, uncorrected**: -2.34 eV per atom
**Space-group type**: I4/mmm (139)

abc: 7.0703 7.0703 7.0703
angles: 120.05 120.05 89.92
Atoms (fractional coordinates):
U  0.0000  0.0000  0.0000
Tl  0.5000  0.5000  0.0000
Br  0.2500  0.7500  0.5000
Br  0.7500  0.2500  0.5000
F  0.2047  0.2047  0.0000
F  0.2050  0.2050  0.4099
F  0.2050  0.7950  0.0000
F  0.7950  0.2050  0.0000
F  0.7953  0.7953  0.0000
F  0.7950  0.7950  0.5901

(2)
Entry from Alexandria: a relaxed BeSbSeN2 crystal (PBE).

**Excess energy over the best structure of this formula in the dataset**: 0.0 meV per atom
**Energy relative to the elements, uncorrected**: 1.19 eV per atom
**Space-group type**: P4/mmm (123)

abc: 3.7530 3.7530 4.9664
angles: 90.00 90.00 90.00
Atoms (fractional coordinates):
Be  0.0000  0.0000  0.0000
Sb  0.5000  0.5000  0.5000
Se  0.0000  0.0000  0.5000
N  0.0000  0.5000  0.0000
N  0.5000  0.0000  0.0000

(3)
Entry from Alexandria: a relaxed Pr6Mg5Sc crystal (PBE).

**E_form**: -0.073 eV per atom
**Space-group type**: P2/m (10)

abc: 5.5424 7.8115 8.7791
angles: 90.00 108.39 90.00
Atoms (fractional coordinates):
Pr  0.0000  0.2471  0.0000
Pr  0.0000  0.7529  0.0000
Pr  0.3352  0.2511  0.6664
Pr  0.3352  0.7489  0.6664
Pr  0.6648  0.2511  0.3336
Pr  0.6648  0.7489  0.3336
Mg  0.1612  0.5000  0.3268
Mg  0.1652  0.0000  0.3352
Mg  0.5000  0.0000  0.0000
Mg  0.8348  0.0000  0.6648
Mg  0.8388  0.5000  0.6732
Sc  0.5000  0.5000  0.0000

(4)
Entry from Alexandria: a relaxed Mg2Zn4Ga3 crystal (PBE).

**E_form**: -0.055 eV per atom
**Space-group type**: P-1 (2)

abc: 4.0853 5.3046 8.3274
angles: 73.64 76.70 68.14
Atoms (fractional coordinates):
Mg  0.0074  0.2227  0.2632
Mg  0.9926  0.7773  0.7368
Zn  0.2362  0.1187  0.9080
Zn  0.2918  0.6357  0.2853
Zn  0.7082  0.3643  0.7147
Zn  0.7638  0.8813  0.0920
Ga  0.3505  0.2291  0.5549
Ga  0.5000  0.5000  0.0000
Ga  0.6495  0.7709  0.4451

(5)
Entry from Alexandria: a relaxed Ac8Rh6Cl crystal (PBE).

**Energy relative to the elements, uncorrected**: -0.75 eV per atom
**Space-group type**: P-3 (147)

abc: 11.0121 11.0121 4.5800
angles: 90.00 90.00 120.00
Atoms (fractional coordinates):
Ac  0.0271  0.3453  0.2571
Ac  0.3182  0.9729  0.2571
Ac  0.3333  0.6667  0.7485
Ac  0.3453  0.3182  0.7429
Ac  0.6547  0.6818  0.2571
Ac  0.6667  0.3333  0.2515
Ac  0.6818  0.0271  0.7429
Ac  0.9729  0.6547  0.7429
Rh  0.1587  0.6686  0.2468
Rh  0.3314  0.4901  0.2468
Rh  0.4901  0.1587  0.7532
Rh  0.5099  0.8413  0.2468
Rh  0.6686  0.5099  0.7532
Rh  0.8413  0.3314  0.7532
Cl  0.0000  0.0000  0.5000

(6)
Entry from Alexandria: a relaxed PuMg2Cl6 crystal (PBE).

**Energy relative to the elements, uncorrected**: -1.77 eV per atom
**Space-group type**: R3 (146)

abc: 7.5214 7.5214 7.5214
angles: 51.54 51.54 51.54
Atoms (fractional coordinates):
Pu  0.0000  0.0000  0.0000
Mg  0.1847  0.1847  0.1847
Mg  0.5092  0.5092  0.5092
Cl  0.1340  0.4062  0.7833
Cl  0.2950  0.9177  0.5547
Cl  0.4062  0.7833  0.1340
Cl  0.5547  0.2950  0.9177
Cl  0.7833  0.1340  0.4062
Cl  0.9177  0.5547  0.2950

(7)
Entry from Alexandria: a relaxed KZr2Ni crystal (PBE).

**E_form**: 0.949 eV per atom
**Excess energy over the best structure of this formula in the dataset**: 766.8 meV per atom
**Space-group type**: I4/mmm (139)

abc: 4.1904 4.1904 10.3229
angles: 90.00 90.00 90.00
Atoms (fractional coordinates):
K  0.0000  0.0000  0.0000
K  0.5000  0.5000  0.5000
Zr  0.0000  0.5000  0.2500
Zr  0.0000  0.5000  0.7500
Zr  0.5000  0.0000  0.2500
Zr  0.5000  0.0000  0.7500
Ni  0.0000  0.0000  0.5000
Ni  0.5000  0.5000  0.0000

(8)
Entry from Alexandria: a relaxed KHfAu2 crystal (PBE).

**E_form**: 0.197 eV per atom
**Excess energy over the best structure of this formula in the dataset**: 510.8 meV per atom
**Space-group type**: I-42d (122)

abc: 7.8529 7.8529 7.4848
angles: 90.00 90.00 90.00
Atoms (fractional coordinates):
K  0.0000  0.0000  0.0000
K  0.0000  0.5000  0.2500
K  0.5000  0.0000  0.7500
K  0.5000  0.5000  0.5000
Hf  0.0000  0.0000  0.5000
Hf  0.0000  0.5000  0.7500
Hf  0.5000  0.0000  0.2500
Hf  0.5000  0.5000  0.0000
Au  0.1947  0.2500  0.6250
Au  0.2500  0.6947  0.8750
Au  0.2500  0.8053  0.3750
Au  0.3053  0.2500  0.1250
Au  0.6947  0.7500  0.1250
Au  0.7500  0.1947  0.3750
Au  0.7500  0.3053  0.8750
Au  0.8053  0.7500  0.6250